[1]
GGA-PBE CaCdGaPb2, optimized geometry; DOS at the Fermi energy = 2.21 states/eV per cell; crystal system = tetragonal; total energy = -12.498 eV per cell
1.0
5.783 0.000 0.000
0.000 5.783 0.000
0.000 0.000 5.052
Ca Cd Ga Pb
1 1 1 2
Direct
0.000 0.000 0.000
0.500 0.500 0.500
0.500 0.500 0.000
0.000 0.500 0.500
0.500 0.000 0.500

[2]
GGA-PBE CaCdGaPb, optimized geometry; DOS at the Fermi energy = 4.61 states/eV per cell; crystal system = cubic; total energy = -10.346 eV per cell
1.0
0.000 3.756 3.756
3.756 0.000 3.756
3.756 3.756 0.000
Ca Cd Ga Pb
1 1 1 1
Direct
0.000 0.000 0.000
0.750 0.750 0.750
0.250 0.250 0.250
0.500 0.500 0.500

[3]
GGA-PBE CaCdGaPd, optimized geometry; DOS at the Fermi energy = 3.04 states/eV per cell; crystal system = cubic; total energy = -12.750 eV per cell
1.0
0.000 3.421 3.421
3.421 0.000 3.421
3.421 3.421 0.000
Ca Cd Ga Pd
1 1 1 1
Direct
0.000 0.000 0.000
0.250 0.250 0.250
0.750 0.750 0.750
0.500 0.500 0.500

[4]
GGA-PBE Ca2CdGa2Pd5, optimized geometry; DOS at the Fermi energy = 3.75 states/eV per cell; crystal system = tetragonal; total energy = -87.563 eV per cell
1.0
9.968 0.000 0.000
0.000 9.968 0.000
0.000 0.000 3.725
Ca Cd Ga Pd
4 2 4 10
Direct
0.176 0.324 0.000
0.324 0.824 0.000
0.676 0.176 0.000
0.824 0.676 0.000
0.000 0.000 0.000
0.500 0.500 0.000
0.122 0.622 0.000
0.378 0.122 0.000
0.622 0.878 0.000
0.878 0.378 0.000
0.000 0.500 0.500
0.067 0.791 0.500
0.209 0.067 0.500
0.291 0.567 0.500
0.433 0.291 0.500
0.500 0.000 0.500
0.567 0.709 0.500
0.709 0.433 0.500
0.791 0.933 0.500
0.933 0.209 0.500

[5]
GGA-PBE Ca2Cd2GaPd5, optimized geometry; DOS at the Fermi energy = 8.22 states/eV per cell; crystal system = tetragonal; total energy = -79.809 eV per cell
1.0
10.472 0.000 0.000
0.000 10.472 0.000
0.000 0.000 3.566
Ca Cd Ga Pd
4 4 2 10
Direct
0.167 0.333 0.000
0.333 0.833 0.000
0.667 0.167 0.000
0.833 0.667 0.000
0.136 0.636 0.000
0.364 0.136 0.000
0.636 0.864 0.000
0.864 0.364 0.000
0.000 0.000 0.000
0.500 0.500 0.000
0.000 0.500 0.500
0.050 0.816 0.500
0.184 0.050 0.500
0.316 0.550 0.500
0.450 0.316 0.500
0.500 0.000 0.500
0.550 0.684 0.500
0.684 0.450 0.500
0.816 0.950 0.500
0.950 0.184 0.500

[6]
GGA-PBE CaPrCdGa, optimized geometry; DOS at the Fermi energy = 1.94 states/eV per cell; crystal system = cubic; total energy = -12.482 eV per cell
1.0
0.000 3.782 3.782
3.782 0.000 3.782
3.782 3.782 0.000
Ca Pr Cd Ga
1 1 1 1
Direct
0.000 0.000 0.000
0.500 0.500 0.500
0.750 0.750 0.750
0.250 0.250 0.250

[7]
GGA-PBE Ca2CdGa3Pt4, optimized geometry; DOS at the Fermi energy = 5.05 states/eV per cell; crystal system = tetragonal; total energy = -46.061 eV per cell
1.0
4.175 0.000 0.000
0.000 4.175 0.000
0.000 0.000 11.327
Ca Cd Ga Pt
2 1 3 4
Direct
0.000 0.500 0.246
0.500 0.000 0.754
0.000 0.000 0.500
0.000 0.500 0.871
0.500 0.000 0.129
0.500 0.500 0.500
0.000 0.000 0.000
0.000 0.500 0.654
0.500 0.000 0.346
0.500 0.500 0.000

[8]
GGA-PBE Ca2CdGa2Rh5, optimized geometry; DOS at the Fermi energy = 11.57 states/eV per cell; crystal system = tetragonal; total energy = -105.261 eV per cell
1.0
9.944 0.000 0.000
0.000 9.944 0.000
0.000 0.000 3.556
Ca Cd Ga Rh
4 2 4 10
Direct
0.174 0.326 0.000
0.326 0.826 0.000
0.674 0.174 0.000
0.826 0.674 0.000
0.000 0.000 0.000
0.500 0.500 0.000
0.125 0.625 0.000
0.375 0.125 0.000
0.625 0.875 0.000
0.875 0.375 0.000
0.000 0.500 0.500
0.067 0.790 0.500
0.210 0.067 0.500
0.290 0.567 0.500
0.433 0.290 0.500
0.500 0.000 0.500
0.567 0.710 0.500
0.710 0.433 0.500
0.790 0.933 0.500
0.933 0.210 0.500